A plane-wave DFT calculation with PBE was carried out for crystalline NdDy2Pt2 at its relaxed geometry.

Results
- E_tot (eV/cell) = -62.20

a = 5.499 Å, b = 4.644 Å, c = 10.496 Å
α = 90.00°, β = 97.49°, γ = 90.00°
Space group P2_1/m (No. 11)
Unique sites:
Nd (0.070, 0.250, 0.282) [2 per cell]
Dy (0.272, 0.750, 0.031) [2 per cell]
Dy (0.378, 0.250, 0.614) [2 per cell]
Pt (0.160, 0.750, 0.473) [2 per cell]
Pt (0.201, 0.250, 0.868) [2 per cell]

A plane-wave DFT calculation with PBE was carried out for crystalline CaSbP2Cl at its relaxed geometry.

Results
- energy relative to the elements, uncorrected (eV/atom) = 0.40
- E_tot (eV/cell) = -16.81

a = 5.400 Å, b = 5.400 Å, c = 4.925 Å
α = 90.00°, β = 90.00°, γ = 90.00°
Space group P4/mmm (No. 123)
Unique sites:
Ca (0.000, 0.000, 0.000) [1 per cell]
Sb (0.500, 0.500, 0.500) [1 per cell]
P (0.000, 0.500, 0.000) [2 per cell]
Cl (0.000, 0.000, 0.500) [1 per cell]

A plane-wave DFT calculation with PBE was carried out for crystalline HfVTe2 at its relaxed geometry.

Results
- energy relative to the elements, uncorrected (eV/atom) = -0.44
- E_tot (eV/cell) = -108.44

a = 8.610 Å, b = 6.785 Å, c = 8.684 Å
α = 90.00°, β = 117.57°, γ = 90.00°
Space group P2_1/c (No. 14)
Unique sites:
Hf (0.032, 0.049, 0.330) [4 per cell]
V (0.111, 0.609, 0.545) [4 per cell]
Te (0.219, 0.237, 0.666) [4 per cell]
Te (0.294, 0.748, 0.885) [4 per cell]

A plane-wave DFT calculation with PBE was carried out for crystalline Cu3Ni at its relaxed geometry.

Results
- E_tot (eV/cell) = -72.14

a = 4.405 Å, b = 8.360 Å, c = 5.040 Å
α = 90.00°, β = 90.00°, γ = 90.00°
Space group Pnma (No. 62)
Unique sites:
Cu (0.079, 0.250, 0.124) [4 per cell]
Cu (0.247, 0.501, 0.375) [8 per cell]
Ni (0.080, 0.250, 0.628) [4 per cell]

Number 1: ρ 10739 kg/m³, spin magnetization 0.00 Bohr magnetons per cell. Number 2: ρ 2997 kg/m³, spin magnetization 0.53 Bohr magnetons per cell. Number 3: ρ 7158 kg/m³, spin magnetization 0.00 Bohr magnetons per cell. Number 4: ρ 8922 kg/m³, spin magnetization 0.00 Bohr magnetons per cell.